No. 1
Here is crystalline UAs2Pb at its relaxed geometry from Alexandria. Energies are from PBE.

The structure in extended XYZ format:
```
4
Lattice="4.1923 0.0000 0.0000 2.0962 3.6307 0.0000 2.0962 1.2102 7.1967" Properties=species:S:1:pos:R:3 pbc="T T T"
As 2.0962 1.2102 1.4918
As 2.0962 1.2102 5.6165
Pb 4.1923 2.4204 3.7088
U 6.2885 3.6307 7.1748
```

Computed properties:
- theoretical density (g cm⁻³) = 9.02
- space-group type = R3m (160)
- excess energy over the best structure of this formula in the dataset (eV/atom) = 0.014
- DFT formation energy (meV per atom) = -295

No. 2
Here is crystalline UAs2Pb at its relaxed geometry from Alexandria. Energies are from PBE.

The structure in extended XYZ format:
```
4
Lattice="-0.2178 1.4748 2.7353 -2.5771 1.6019 0.7050 -5.5391 -8.4815 5.9057" Properties=species:S:1:pos:R:3 pbc="T T T"
As -3.9537 0.6856 4.6372
U 0.0000 0.0000 0.0000
Pb -4.1670 -2.7024 4.6730
As -4.3804 -6.0905 4.7088
```

Computed properties:
- theoretical density (g cm⁻³) = 10.15
- space-group type = R-3m (166)
- excess energy over the best structure of this formula in the dataset (eV/atom) = 0.762
- DFT formation energy (meV per atom) = 453

No. 3
Here is crystalline UAs2Pb at its relaxed geometry from Alexandria. Energies are from PBE.

The structure in extended XYZ format:
```
4
Lattice="3.7564 0.0000 0.0000 0.0000 3.7564 0.0000 0.0000 0.0000 6.5968" Properties=species:S:1:pos:R:3 pbc="T T T"
U 1.8782 1.8782 0.0000
As 0.0000 0.0000 5.2408
As 0.0000 0.0000 1.3560
Pb 1.8782 1.8782 3.2984
```

Computed properties:
- theoretical density (g cm⁻³) = 10.62
- space-group type = P4/mmm (123)
- excess energy over the best structure of this formula in the dataset (eV/atom) = 0.000
- DFT formation energy (meV per atom) = -309

No. 4
Here is crystalline VAs2Pb at its relaxed geometry from Alexandria. Energies are from PBE.

The structure in extended XYZ format:
```
4
Lattice="-1.1297 -3.0482 -0.1744 2.0784 -2.4963 -0.2164 0.5487 -2.4777 9.3658" Properties=species:S:1:pos:R:3 pbc="T T T"
V 0.7487 -4.0111 4.4875
As 1.0240 -5.7483 2.6844
Pb 0.0000 0.0000 0.0000
As 0.4734 -2.2738 6.2906
```

Computed properties:
- theoretical density (g cm⁻³) = 7.75
- space-group type = R-3m (166)
- DFT formation energy (meV per atom) = -155

No. 5
Here is crystalline V2AsPb at its relaxed geometry from Alexandria. Energies are from PBE.

The structure in extended XYZ format:
```
8
Lattice="7.1936 0.0000 0.0000 0.0000 7.1936 0.0000 3.5968 3.5968 2.9019" Properties=species:S:1:pos:R:3 pbc="T T T"
As 3.5968 3.5968 0.0000
V 5.3952 5.7811 2.1764
Pb 7.1936 3.5968 1.4509
V 8.9919 8.6060 2.1764
As 3.5968 7.1936 1.4509
Pb 0.0000 0.0000 0.0000
V 2.1843 5.3952 0.7255
V 5.0092 1.7984 0.7255
```

Computed properties:
- theoretical density (g cm⁻³) = 8.49
- space-group type = I-42d (122)
- excess energy over the best structure of this formula in the dataset (eV/atom) = 0.064
- DFT formation energy (meV per atom) = 434

No. 6
Here is crystalline VAs3Pb at its relaxed geometry from Alexandria. Energies are from PBE.

The structure in extended XYZ format:
```
5
Lattice="-2.8272 -3.7074 -1.3104 3.7454 -2.0475 -2.2879 1.1974 -2.3490 4.0624" Properties=species:S:1:pos:R:3 pbc="T T T"
As 0.5987 -1.1745 2.0312
Pb 1.0578 -4.0519 0.2320
V 0.0000 0.0000 0.0000
As -1.4136 -1.8537 -0.6552
As 1.8727 -1.0237 -1.1439
```

Computed properties:
- theoretical density (g cm⁻³) = 7.06
- space-group type = Pm-3m (221)
- excess energy over the best structure of this formula in the dataset (eV/atom) = 0.000
- DFT formation energy (meV per atom) = 123

No. 7
Here is crystalline V3AsPb at its relaxed geometry from Alexandria. Energies are from PBE.

The structure in extended XYZ format:
```
5
Lattice="-4.5298 -1.2774 1.9504 -0.5214 -3.5989 -3.5681 2.2724 -3.3722 3.0692" Properties=species:S:1:pos:R:3 pbc="T T T"
V -0.2607 -1.7994 -1.7841
V -2.2649 -0.6387 0.9752
Pb 0.0000 0.0000 0.0000
V 1.1362 -1.6861 1.5346
As -1.3894 -4.1242 0.7257
```

Computed properties:
- theoretical density (g cm⁻³) = 5.46
- space-group type = Pm-3m (221)
- excess energy over the best structure of this formula in the dataset (eV/atom) = 1.056
- DFT formation energy (meV per atom) = 1611

No. 8
Here is crystalline VAs2Pb at its relaxed geometry from Alexandria. Energies are from PBE.

The structure in extended XYZ format:
```
4
Lattice="3.2720 0.0000 0.0000 1.6360 2.8336 0.0000 1.6360 0.9445 9.0914" Properties=species:S:1:pos:R:3 pbc="T T T"
Pb 3.2720 1.8891 4.5586
As 1.6360 0.9445 1.6677
As 1.6360 0.9445 7.4134
V 4.9080 2.8336 9.0890
```

Computed properties:
- theoretical density (g cm⁻³) = 8.04
- space-group type = R3m (160)
- DFT formation energy (meV per atom) = -101

No. 9
Here is crystalline V2AsPb at its relaxed geometry from Alexandria. Energies are from PBE.

The structure in extended XYZ format:
```
4
Lattice="0.0000 3.2322 3.2322 3.2322 0.0000 3.2322 3.2322 3.2322 0.0000" Properties=species:S:1:pos:R:3 pbc="T T T"
V 4.8483 4.8483 4.8483
As 0.0000 0.0000 0.0000
V 1.6161 1.6161 1.6161
Pb 3.2322 3.2322 3.2322
```

Computed properties:
- theoretical density (g cm⁻³) = 9.44
- space-group type = Fm-3m (225)
- excess energy over the best structure of this formula in the dataset (eV/atom) = 0.000
- DFT formation energy (meV per atom) = 369

No. 10
Here is crystalline V3AsPb at its relaxed geometry from Alexandria. Energies are from PBE.

The structure in extended XYZ format:
```
5
Lattice="4.6672 0.0000 0.0000 0.0000 4.6672 0.0000 0.0000 0.0000 4.6672" Properties=species:S:1:pos:R:3 pbc="T T T"
V 0.0000 2.3336 0.0000
Pb 2.3336 2.3336 2.3336
As 0.0000 0.0000 0.0000
V 0.0000 0.0000 2.3336
V 2.3336 0.0000 0.0000
```

Computed properties:
- theoretical density (g cm⁻³) = 7.10
- space-group type = Pm-3m (221)
- excess energy over the best structure of this formula in the dataset (eV/atom) = 0.000
- DFT formation energy (meV per atom) = 555

No. 11
Here is crystalline VAs2Pb at its relaxed geometry from Alexandria. Energies are from PBE.

The structure in extended XYZ format:
```
8
Lattice="-3.3102 3.8358 3.3031 -2.2448 -4.6498 3.1499 1.8616 0.1022 7.2843" Properties=species:S:1:pos:R:3 pbc="T T T"
As -3.2970 -0.2887 10.8746
Pb 0.0000 0.0000 0.0000
V -2.7775 -0.4070 3.2265
As -1.6372 1.5555 4.0328
As -1.5983 -2.1149 4.4491
V -1.5804 -2.4773 6.8304
As -0.8544 -0.5755 8.1181
Pb -2.1131 1.7655 6.9070
```

Computed properties:
- theoretical density (g cm⁻³) = 5.99
- space-group type = I-42d (122)
- DFT formation energy (meV per atom) = 68

No. 12
Here is crystalline VAs2Pb at its relaxed geometry from Alexandria. Energies are from PBE.

The structure in extended XYZ format:
```
4
Lattice="3.2419 0.0000 0.0000 0.0000 3.2419 0.0000 0.0000 0.0000 7.5265" Properties=species:S:1:pos:R:3 pbc="T T T"
As 0.0000 0.0000 1.3487
V 1.6210 1.6210 0.0000
As 0.0000 0.0000 6.1778
Pb 1.6210 1.6210 3.7632
```

Computed properties:
- theoretical density (g cm⁻³) = 8.56
- space-group type = P4/mmm (123)
- DFT formation energy (meV per atom) = -76

No. 13
Here is crystalline V2AsPb4 at its relaxed geometry from Alexandria. Energies are from PBE.

The structure in extended XYZ format:
```
7
Lattice="-1.0160 -5.4492 1.2579 2.8097 -1.6028 -4.6739 6.5035 -3.7738 1.7473" Properties=species:S:1:pos:R:3 pbc="T T T"
Pb -0.5080 -2.7246 0.6289
V 6.6031 -7.2645 -0.4520
V 1.6940 -3.5612 -1.2167
As 0.0000 0.0000 0.0000
Pb 4.2060 -7.1586 -1.9293
Pb 4.0911 -3.6672 0.2606
Pb 1.4048 -0.8014 -2.3370
```

Computed properties:
- theoretical density (g cm⁻³) = 7.84
- space-group type = I4/mmm (139)
- DFT formation energy (meV per atom) = 739

No. 14
Here is crystalline VZnAs2Pb at its relaxed geometry from Alexandria. Energies are from PBE.

The structure in extended XYZ format:
```
5
Lattice="5.4413 0.0000 0.0000 0.0000 4.9591 0.0000 0.0000 0.0000 5.4413" Properties=species:S:1:pos:R:3 pbc="T T T"
As 2.7206 0.0000 0.0000
Pb 0.0000 0.0000 0.0000
As 0.0000 0.0000 2.7206
V 2.7206 2.4795 2.7206
Zn 0.0000 2.4795 0.0000
```

Computed properties:
- theoretical density (g cm⁻³) = 5.35
- space-group type = P4/mmm (123)
- DFT formation energy (meV per atom) = 1519

No. 15
Here is crystalline ZrVAsPb2 at its relaxed geometry from Alexandria. Energies are from PBE.

The structure in extended XYZ format:
```
5
Lattice="-1.4375 0.3599 5.2716 1.2052 -4.8348 0.6587 5.1181 1.4525 1.2965" Properties=species:S:1:pos:R:3 pbc="T T T"
Pb 2.5590 0.7262 0.6483
V 2.4429 -1.5112 3.6134
Zr 0.6026 -2.4174 0.3293
As 0.0000 0.0000 0.0000
Pb -0.7188 0.1799 2.6358
```

Computed properties:
- theoretical density (g cm⁻³) = 6.96
- space-group type = P4/mmm (123)
- DFT formation energy (meV per atom) = 1082

No. 16
Here is crystalline AsPbW2 at its relaxed geometry from Alexandria. Energies are from PBE.

The structure in extended XYZ format:
```
4
Lattice="0.0000 3.2816 3.2816 3.2816 0.0000 3.2816 3.2816 3.2816 0.0000" Properties=species:S:1:pos:R:3 pbc="T T T"
W 4.9224 4.9224 4.9224
As 0.0000 0.0000 0.0000
Pb 3.2816 3.2816 3.2816
W 1.6408 1.6408 1.6408
```

Computed properties:
- theoretical density (g cm⁻³) = 15.27
- space-group type = Fm-3m (225)
- excess energy over the best structure of this formula in the dataset (eV/atom) = 0.610
- DFT formation energy (meV per atom) = 944

No. 17
Here is crystalline AsPbW3 at its relaxed geometry from Alexandria. Energies are from PBE.

The structure in extended XYZ format:
```
5
Lattice="-3.9384 -0.6063 -2.4510 -1.7155 -2.6897 3.4219 -1.8527 3.7795 2.0420" Properties=species:S:1:pos:R:3 pbc="T T T"
W -1.9692 -0.3032 -1.2255
Pb -3.7533 0.2417 1.5064
W -0.8577 -1.3448 1.7109
As 0.0000 0.0000 0.0000
W -0.9263 1.8897 1.0210
```

Computed properties:
- theoretical density (g cm⁻³) = 13.52
- space-group type = Pm-3m (221)
- excess energy over the best structure of this formula in the dataset (eV/atom) = 0.000
- DFT formation energy (meV per atom) = 1583

No. 18
Here is crystalline As3PbW at its relaxed geometry from Alexandria. Energies are from PBE.

The structure in extended XYZ format:
```
5
Lattice="5.1659 0.0000 0.0000 0.0000 5.1659 0.0000 0.0000 0.0000 5.1659" Properties=species:S:1:pos:R:3 pbc="T T T"
Pb 0.0000 0.0000 0.0000
As 0.0000 2.5830 0.0000
W 2.5830 2.5830 2.5830
As 0.0000 0.0000 2.5830
As 2.5830 0.0000 0.0000
```

Computed properties:
- theoretical density (g cm⁻³) = 7.42
- space-group type = Pm-3m (221)
- DFT formation energy (meV per atom) = 2251

No. 19
Here is crystalline AsPbW4 at its relaxed geometry from Alexandria. Energies are from PBE.

The structure in extended XYZ format:
```
6
Lattice="4.1289 -2.1694 2.7605 2.2448 2.7304 4.1086 -0.7371 -1.6860 5.0979" Properties=species:S:1:pos:R:3 pbc="T T T"
Pb 0.0000 0.0000 0.0000
W 2.1172 -0.4226 4.4950
As 4.2275 -0.8438 8.9753
W 1.7505 -1.2614 7.0315
W 4.1715 -1.5020 5.8685
W 3.2341 0.9359 6.5392
```

Computed properties:
- theoretical density (g cm⁻³) = 15.01
- space-group type = F-43m (216)
- DFT formation energy (meV per atom) = 856

No. 20
Here is crystalline AsPbW2 at its relaxed geometry from Alexandria. Energies are from PBE.

The structure in extended XYZ format:
```
8
Lattice="-3.9806 0.8786 1.0813 -1.0047 -4.0778 -0.3851 -0.3475 -2.9798 9.3669" Properties=species:S:1:pos:R:3 pbc="T T T"
As -1.9224 -4.3286 4.6649
As -2.4927 -1.5996 0.3481
Pb -3.4104 -1.8504 5.3981
W -2.2051 -3.7387 7.2575
W -1.5092 -3.1183 2.3168
Pb 0.0000 0.0000 0.0000
W -2.4035 -0.7711 2.8887
W -4.5479 -4.7301 7.6630
```

Computed properties:
- theoretical density (g cm⁻³) = 12.95
- space-group type = I-42d (122)
- excess energy over the best structure of this formula in the dataset (eV/atom) = 0.610
- DFT formation energy (meV per atom) = 944

Taking the records one at a time from the top gives calculated total energy values of -6.369; -5.621; -6.383; -5.687; -6.215; -5.232; -5.531; -5.632; -6.280; -6.588; -5.463; -5.608; -4.650; -3.161; -4.864; -7.622; -7.861; -3.871; -9.173; -7.622 eV/atom.